DFT (GGA-PBE) results for a geometry-optimized B3IrPt structure.

a b c (Å): 4.0561 4.0561 4.0561
angles (deg): 90.00 90.00 90.00
Closest atoms and distances in Å follow each position.
Sites, in units of the cell vectors:
B 0.0000 0.0000 0.5000  2 Pt 2.03
B 0.0000 0.5000 0.0000  2 Pt 2.03
B 0.5000 0.0000 0.0000  2 Pt 2.03
Ir 0.5000 0.5000 0.5000  12 B 2.87
Pt 0.0000 0.0000 0.0000  6 B 2.03

Properties
VASP energy   -27.2 eV/cell